Material: La2ErAs4Pt3
Method: DFT, PBE-GGA
State: relaxed

Summary:
DOS at the Fermi energy in states/eV/f.u.: 3.5
Calculated formation energy in meV/atom: -1036
DFT total energy in eV per atom: -6.150

Structure (CIF):
```
data_La2ErAs4Pt3
_symmetry_space_group_name_H-M 'P -4 m 2'
_symmetry_Int_Tables_number 115
_symmetry_space_group_name_Hall 'P -4 -2'
_cell_length_a 4.484
_cell_length_b 4.484
_cell_length_c 10.744
_cell_angle_alpha 90.00
_cell_angle_beta 90.00
_cell_angle_gamma 90.00
loop_
_atom_site_label
_atom_site_fract_x
_atom_site_fract_y
_atom_site_fract_z
La1 0.000 0.500 0.224
Er1 0.000 0.000 0.500
As1 0.000 0.000 0.000
As2 0.000 0.500 0.652
As3 0.500 0.500 0.000
Pt1 0.000 0.500 0.887
Pt2 0.500 0.500 0.500
```